The following is a DFT calculation (PBE-GGA) of a relaxed La5Tb2Mg crystal.

Unit cell a=10.3599 b=10.1267 c=7.3121 alpha=90.00 beta=134.89 gamma=90.00
Closest atoms and distances in Å follow each position.
Space group Cm (No. 8)
Symmetry-distinct sites (fractional):
1 La 0.0000 0.0000 0.0000 (multiplicity 2)  8 La 3.62, 2 Tb 3.65-3.66, 2 Mg 3.66-3.68
2 La 0.2502 0.2500 0.0005 (multiplicity 4)  4 Tb 3.62, 2 Mg 3.62, 6 La 3.62-3.67
3 La 0.2505 0.2496 0.5003 (multiplicity 4)  6 La 3.62-3.67, 2 Mg 3.62, 4 Tb 3.62
4 Tb 0.0003 0.0000 0.5006 (multiplicity 2)  10 La 3.62-3.66, 2 Tb 3.67
5 Tb 0.0006 0.5000 0.0012 (multiplicity 2)  8 La 3.62, 2 Mg 3.65-3.66, 2 Tb 3.67
6 Mg 0.0008 0.5000 0.5007 (multiplicity 2)  10 La 3.62-3.68, 2 Tb 3.65-3.66

Computed properties:
Energy, eV/cell: -71.08
DOS at the Fermi energy, states/eV per atom: 1.235
Formation energy, eV per atom: -0.006
Total magnetization, μB per formula unit: 0.000